Record 1
! ZrAl2W PBE optimized geometry; values from VASP
! * relative energy among the computed polymorphs: 52.9 meV/atom
! * SG: C2/m (12)
&SYSTEM
  ibrav = 0, nat = 4, ntyp = 3
/
ATOMIC_SPECIES
Zr 91.22 Zr.upf
W 183.84 W.upf
Al 26.98 Al.upf
CELL_PARAMETERS angstrom
5.9913 -0.0070 -0.0225
-2.5144 4.4962 0.0062
0.9624 0.7920 2.5424
ATOMIC_POSITIONS crystal
Zr 0.5000 0.5000 0.0000
W 0.0000 0.5000 0.5000
Al 0.0000 0.0000 0.0000
Al 0.5000 0.0000 0.5000


Record 2
! Cr2ReGe PBE optimized geometry; values from VASP
! * SG: P4/mmm (123)
&SYSTEM
  ibrav = 0, nat = 4, ntyp = 3
/
ATOMIC_SPECIES
Re 186.21 Re.upf
Ge 72.64 Ge.upf
Cr 52.00 Cr.upf
CELL_PARAMETERS angstrom
3.0639 0.0000 0.0000
0.0000 3.0639 0.0000
0.0000 0.0000 5.6022
ATOMIC_POSITIONS crystal
Re 0.5000 0.5000 0.0000
Ge 0.5000 0.5000 0.5000
Cr 0.0000 0.0000 0.7431
Cr 0.0000 0.0000 0.2569


Record 3
! In2Pt5 PBE optimized geometry; values from VASP
! * SG: Cccm (66)
&SYSTEM
  ibrav = 0, nat = 14, ntyp = 2
/
ATOMIC_SPECIES
In 114.82 In.upf
Pt 195.08 Pt.upf
CELL_PARAMETERS angstrom
-2.5041 5.1439 -0.0906
-6.1942 -3.0290 -0.7710
-3.7570 -1.7266 5.7495
ATOMIC_POSITIONS crystal
In 0.5001 0.2920 0.7976
In 0.9999 0.0895 0.2024
In 0.4999 0.7080 0.2024
In 0.0001 0.9105 0.7976
Pt 0.5000 0.0963 0.2465
Pt 0.0000 0.3428 0.7535
Pt 0.2497 0.7325 0.5354
Pt 0.2503 0.2678 0.4646
Pt 0.7503 0.2675 0.4646
Pt 0.7497 0.7322 0.5354
Pt 0.0000 0.6572 0.2465
Pt 0.5000 0.9037 0.7535
Pt 0.7500 0.5001 0.0000
Pt 0.2500 0.4999 0.0000


Record 4
! Cd3Cu PBE optimized geometry; values from VASP
! * SG: Pmmn (59)
&SYSTEM
  ibrav = 0, nat = 8, ntyp = 2
/
ATOMIC_SPECIES
Cd 112.41 Cd.upf
Cu 63.55 Cu.upf
CELL_PARAMETERS angstrom
6.2492 0.0000 0.0000
0.0000 4.7169 0.0000
0.0000 0.0000 5.2076
ATOMIC_POSITIONS crystal
Cd 0.0000 0.5000 0.3529
Cd 0.2494 0.0000 0.1714
Cd 0.2506 0.5000 0.8286
Cd 0.5000 0.0000 0.6471
Cd 0.7506 0.0000 0.1714
Cd 0.7494 0.5000 0.8286
Cu 0.0000 0.0000 0.6737
Cu 0.5000 0.5000 0.3263


Number 1: energy of formation from the pure elements -0.1310 eV/atom, size of the total moment 0.0 μB/cell. Number 2: energy of formation from the pure elements 0.0937 eV/atom, size of the total moment 1.1 μB/cell. Number 3: energy of formation from the pure elements -0.3632 eV/atom, size of the total moment 0.0 μB/cell. Number 4: energy of formation from the pure elements 0.0575 eV/atom, size of the total moment 0.0 μB/cell.